Below is Hf5As12W3 after structural relaxation, with properties calculated at the PBE level.

The structure in POSCAR format:
```
Hf5As12W3
1.0
-7.665 7.665 7.665
7.665 -7.665 7.665
7.665 7.665 -7.665
Hf As W
20 48 12
Cartesian
0.000 0.000 0.000
3.832 3.832 -3.832
3.832 -3.832 3.832
7.665 0.000 0.000
11.497 1.916 0.000
7.665 -3.832 5.748
5.748 7.665 -3.832
5.748 0.000 3.832
3.832 5.748 0.000
7.665 3.832 1.916
-3.832 3.832 3.832
0.000 7.665 0.000
0.000 0.000 7.665
3.832 3.832 3.832
0.000 3.832 5.748
3.832 1.916 7.665
1.916 7.665 3.832
1.916 0.000 11.497
0.000 11.497 1.916
-3.832 5.748 7.665
2.378 -0.298 1.322
9.119 5.154 -4.131
7.366 -1.322 2.378
11.795 -1.454 2.511
10.043 0.298 1.322
9.119 -2.511 4.131
1.322 2.378 -0.298
10.175 3.534 -1.454
5.154 4.131 -1.454
6.343 2.378 0.298
-0.298 1.322 2.378
4.131 -1.454 5.154
7.366 6.343 -2.378
4.131 1.454 2.511
6.343 -2.378 7.366
5.154 -4.131 9.119
2.511 4.131 1.454
8.986 5.287 0.298
2.378 7.366 -1.322
9.119 2.511 3.534
4.131 9.119 -2.511
7.366 1.322 5.287
1.454 2.511 4.131
2.378 0.298 6.343
5.287 7.366 1.322
6.210 5.154 3.534
0.298 6.343 2.378
3.534 -1.454 10.175
-1.454 5.154 4.131
5.287 0.298 8.986
-1.322 2.378 7.366
5.154 3.534 6.210
2.511 11.795 -1.454
1.322 10.043 0.298
3.534 6.210 5.154
0.298 1.322 10.043
3.534 9.119 2.511
7.963 6.343 5.287
1.322 5.287 7.366
2.511 3.534 9.119
-2.511 4.131 9.119
6.343 5.287 7.963
-1.454 10.175 3.534
-2.378 7.366 6.343
-4.131 9.119 5.154
0.298 8.986 5.287
-1.454 2.511 11.795
5.287 7.963 6.343
3.832 1.916 0.000
7.665 3.832 -1.916
1.916 0.000 3.832
9.581 0.000 3.832
0.000 3.832 1.916
3.832 -1.916 7.665
3.832 9.581 0.000
7.665 3.832 5.748
-1.916 7.665 3.832
5.748 7.665 3.832
0.000 3.832 9.581
3.832 5.748 7.665
```

Calculated values
The energy of formation is 0.102 eV/atom. For the total DFT energy (no corrections), the calculation gives -0.2616 Ha/atom.



Below is Pm12Dy2Ho5 after structural relaxation, with properties calculated at the PBE level.

The structure in POSCAR format:
```
Pm12Dy2Ho5
1.0
7.821 -5.132 0.000
7.821 5.132 0.000
-0.280 0.000 8.013
Pm Dy Ho
12 2 5
Cartesian
0.755 0.000 1.685
4.653 2.356 5.660
6.131 2.809 0.900
9.231 2.809 7.113
5.411 0.000 3.060
10.709 2.356 2.353
4.653 -2.356 5.660
9.951 0.000 4.953
6.131 -2.809 0.900
9.231 -2.809 7.113
10.709 -2.356 2.353
14.607 0.000 6.328
7.681 2.563 4.007
7.681 -2.563 4.007
2.196 0.000 4.697
3.987 0.000 0.099
7.821 0.000 0.000
11.375 0.000 7.914
13.166 0.000 3.316
```

Calculated values
For the energy above the most stable polymorph in this dataset, the calculation gives 0.012 eV/atom. The energy of formation is 0.133 eV/atom. For the total DFT energy (no corrections), the calculation gives -0.1675 Ha/atom.



Below is AcSm4Dy5 after structural relaxation, with properties calculated at the PBE level.

The structure in POSCAR format:
```
AcSm4Dy5
1.0
-5.192 5.192 3.213
5.192 -5.192 3.213
5.192 5.192 -3.213
Ac Sm Dy
1 4 5
Cartesian
0.000 0.000 0.000
5.745 -1.521 1.780
4.638 1.521 1.780
-1.521 4.638 1.780
1.521 5.745 1.780
3.628 2.727 -1.353
2.464 -1.564 1.861
2.727 6.755 -1.353
1.564 2.464 1.861
0.000 0.000 3.412
```

Calculated values
For the energy above the most stable polymorph in this dataset, the calculation gives 0.262 eV/atom. The energy of formation is 0.320 eV/atom. For the total DFT energy (no corrections), the calculation gives -0.1573 Ha/atom.



Below is Dy4Si2N after structural relaxation, with properties calculated at the PBE level.

The structure in POSCAR format:
```
Dy4Si2N
1.0
5.880 -1.922 0.000
5.880 1.922 0.000
-4.765 0.000 6.560
Dy Si N
4 2 1
Cartesian
-0.694 0.000 2.286
-0.385 0.000 6.055
7.380 0.000 0.505
7.689 0.000 4.274
2.959 0.000 2.204
4.036 0.000 4.356
0.000 0.000 0.000
```

Calculated values
For the formation energy (no corrections), the calculation gives -0.8912 eV per atom. For the energy above the most stable polymorph in this dataset, the calculation gives 0.000 eV/atom. For the total DFT energy (no corrections), the calculation gives -0.2300 Ha/atom.



Below is DyLuTlTc after structural relaxation, with properties calculated at the PBE level.

The structure in POSCAR format:
```
DyLuTlTc
1.0
0.000 3.566 3.566
3.566 0.000 3.566
3.566 3.566 0.000
Dy Lu Tl Tc
1 1 1 1
Cartesian
0.000 0.000 0.000
3.566 3.566 3.566
5.349 5.349 5.349
1.783 1.783 1.783
```

Calculated values
The energy of formation is -0.074 eV/atom. For the total DFT energy (no corrections), the calculation gives -0.2035 Ha/atom.



Below is Zn2OsRh after structural relaxation, with properties calculated at the PBE level.

The structure in POSCAR format:
```
Zn2OsRh
1.0
2.988 0.000 0.000
0.000 2.988 0.000
0.000 0.000 6.206
Zn Os Rh
2 1 1
Cartesian
0.000 0.000 1.521
0.000 0.000 4.685
1.494 1.494 3.103
1.494 1.494 0.000
```

Calculated values
For the energy above the most stable polymorph in this dataset, the calculation gives 0.083 eV/atom. The energy of formation is 0.072 eV/atom. For the total DFT energy (no corrections), the calculation gives -0.1915 Ha/atom.



Below is Pm3Tm7Tl2 after structural relaxation, with properties calculated at the PBE level.

The structure in POSCAR format:
```
Pm3Tm7Tl2
1.0
5.644 0.000 0.000
0.000 3.592 0.000
-1.043 0.000 18.256
Pm Tm Tl
3 7 2
Cartesian
0.000 0.000 0.000
0.882 1.796 11.560
3.719 1.796 6.697
0.831 1.796 2.725
0.888 0.000 8.362
0.959 0.000 15.204
2.822 1.796 0.000
3.642 0.000 3.052
3.713 0.000 9.895
3.770 1.796 15.531
0.884 0.000 5.307
3.717 0.000 12.949
```

Calculated values
The energy of formation is -0.028 eV/atom. For the total DFT energy (no corrections), the calculation gives -0.1550 Ha/atom.



Below is MgZnTe2 after structural relaxation, with properties calculated at the PBE level.

The structure in POSCAR format:
```
MgZnTe2
1.0
5.482 -6.530 0.000
5.482 6.530 0.000
-0.396 0.000 13.429
Mg Zn Te
8 8 16
Cartesian
4.855 5.176 12.119
5.515 5.176 8.025
3.824 1.511 8.331
4.022 -1.511 1.617
6.546 1.511 11.813
6.744 -1.511 5.098
5.053 -5.176 5.405
5.713 -5.176 1.310
1.375 2.005 11.596
3.740 1.763 4.738
1.573 -2.005 4.882
3.542 -1.763 11.453
7.026 1.763 1.977
8.995 2.005 8.548
6.829 -1.763 8.692
9.193 -2.005 1.833
3.056 3.484 10.222
5.383 5.923 3.357
2.087 0.187 6.445
1.889 -0.187 13.160
5.245 2.802 0.278
5.521 2.802 6.437
7.314 3.484 9.922
5.383 0.176 3.357
5.185 -0.176 10.072
3.254 -3.484 3.507
5.047 -2.802 6.993
5.323 -2.802 13.152
8.679 0.187 0.270
8.481 -0.187 6.984
5.185 -5.923 10.072
7.512 -3.484 3.207
```

Calculated values
For the formation energy (no corrections), the calculation gives -0.5400 eV per atom. For the total DFT energy (no corrections), the calculation gives -0.1039 Ha/atom.



Below is RbAlS2 after structural relaxation, with properties calculated at the PBE level.

The structure in POSCAR format:
```
RbAlS2
1.0
6.998 0.000 0.000
0.000 3.502 0.000
-2.466 0.000 8.381
Rb Al S
2 2 4
Cartesian
0.539 0.876 2.701
3.993 2.627 5.679
0.505 0.876 7.117
4.027 2.627 1.263
1.971 2.627 0.195
0.501 2.627 5.549
4.031 0.876 2.832
2.561 0.876 8.185
```

Calculated values
For the formation energy (no corrections), the calculation gives -1.1642 eV per atom. For the total DFT energy (no corrections), the calculation gives -0.1619 Ha/atom.